PmAlB (PBE, relaxed); density of states at the Fermi level = 3.84 states/eV per cell; VASP energy = -5.28 eV/atom
1.0
2.011 -8.977 0.000
2.011 8.977 0.000
0.000 0.000 3.182
Pm Al B
2 2 2
Direct
0.093 0.907 0.750
0.907 0.093 0.250
0.266 0.734 0.250
0.734 0.266 0.750
0.488 0.512 0.750
0.512 0.488 0.250